Record 1
Ac2YPuN5 | PBE | optimized geometry

## Properties
E_form (uncorrected) = -1065 meV per atom

a b c (Å): 3.712 14.467 11.475
angles (deg): 90.00 90.00 90.00
Space group Cmc2_1 (No. 36)
Inequivalent atoms, fractional coordinates:
Ac  0.000  0.102  0.000 (multiplicity 4)
Ac  0.000  0.144  0.591 (multiplicity 4)
Y  0.000  0.224  0.324 (multiplicity 4)
Pu  0.000  0.469  0.771 (multiplicity 4)
N  0.000  0.059  0.363 (multiplicity 4)
N  0.000  0.273  0.970 (multiplicity 4)
N  0.000  0.332  0.707 (multiplicity 4)
N  0.000  0.390  0.318 (multiplicity 4)
N  0.000  0.489  0.096 (multiplicity 4)

Record 2
InPd2N | PBE | optimized geometry

## Properties
E above lowest polymorph = 0.00 kcal/mol of atoms
E_form (uncorrected) = 309 meV per atom

a b c (Å): 5.026 5.026 11.846
angles (deg): 90.00 90.00 90.00
Space group I-42d (No. 122)
Inequivalent atoms, fractional coordinates:
In  0.000  0.000  0.000 (multiplicity 4)
Pd  0.106  0.250  0.625 (multiplicity 8)
N  0.000  0.000  0.500 (multiplicity 4)

Record 3
Li4PuPa3N8 | PBE | optimized geometry

## Properties
E_form (uncorrected) = -1161 meV per atom

a b c (Å): 7.0816 7.0816 15.0537
angles (deg): 90.00 90.00 120.00
Space group R-3m (No. 166, hexagonal axes)
Inequivalent atoms, fractional coordinates:
Li  0.0000  0.0000  0.0000 (multiplicity 3)
Li  0.0000  0.5000  0.0000 (multiplicity 9)
Pu  0.0000  0.0000  0.5000 (multiplicity 3)
Pa  0.0000  0.5000  0.5000 (multiplicity 9)
N  0.0000  0.0000  0.2349 (multiplicity 6)
N  0.0046  0.5023  0.2354 (multiplicity 18)

Record 4
Sc4ZnIr2Pd | PBE | optimized geometry

## Properties
formation energy from the elements = -6.8 eV per formula unit

a b c (Å): 4.6252 4.6252 22.7175
angles (deg): 90.00 90.00 120.00
Space group R-3m (No. 166, hexagonal axes)
Inequivalent atoms, fractional coordinates:
Sc  0.0000  0.0000  0.1243 (multiplicity 6)
Sc  0.0000  0.0000  0.3744 (multiplicity 6)
Zn  0.0000  0.0000  0.5000 (multiplicity 3)
Ir  0.0000  0.0000  0.2489 (multiplicity 6)
Pd  0.0000  0.0000  0.0000 (multiplicity 3)